(1)
{"formula": "YNbPb2Cl", "functional": "PBE", "state": "relaxed", "m_tot_mub_per_cell": 0.00, "raw_formation_energy_ev_per_atom": 0.577, "sg": "P4/mmm", "relative_energy_ev_per_fu": 1.08, "lattice": [[5.411, 0.000, 0.000], [0.000, 5.411, 0.000], [0.000, 0.000, 4.946]], "species": ["Y", "Nb", "Pb", "Pb", "Cl"], "frac_coords": [[0.000, 0.000, 0.000], [0.500, 0.500, 0.000], [0.000, 0.500, 0.500], [0.500, 0.000, 0.500], [0.000, 0.000, 0.500]]}



(2)
{"formula": "NbPdCl3", "functional": "PBE", "state": "relaxed", "m_tot_mub_per_cell": 3.43, "raw_formation_energy_ev_per_atom": 0.324, "sg": "Pm-3m", "relative_energy_ev_per_fu": 2.53, "lattice": [[4.877, 0.000, 0.000], [0.000, 4.877, 0.000], [0.000, 0.000, 4.877]], "species": ["Nb", "Pd", "Cl", "Cl", "Cl"], "frac_coords": [[0.000, 0.000, 0.000], [0.500, 0.500, 0.500], [0.000, 0.500, 0.500], [0.500, 0.000, 0.500], [0.500, 0.500, 0.000]]}



(3)
{"formula": "NbPdCl3", "functional": "PBE", "state": "relaxed", "m_tot_mub_per_cell": 0.00, "raw_formation_energy_ev_per_atom": -0.183, "sg": "Pm-3m", "relative_energy_ev_per_fu": 0.00, "lattice": [[4.873, 0.000, 0.000], [0.000, 4.873, 0.000], [0.000, 0.000, 4.873]], "species": ["Nb", "Pd", "Cl", "Cl", "Cl"], "frac_coords": [[0.000, 0.000, 0.000], [0.500, 0.500, 0.500], [0.000, 0.000, 0.500], [0.000, 0.500, 0.000], [0.500, 0.000, 0.000]]}



(4)
{"formula": "RbNbPdCl2", "functional": "PBE", "state": "relaxed", "m_tot_mub_per_cell": 3.99, "raw_formation_energy_ev_per_atom": 1.159, "sg": "P4/mmm", "lattice": [[5.730, 0.000, 0.000], [0.000, 5.730, 0.000], [0.000, 0.000, 5.875]], "species": ["Rb", "Nb", "Pd", "Cl", "Cl"], "frac_coords": [[0.000, 0.000, 0.000], [0.000, 0.000, 0.500], [0.500, 0.500, 0.500], [0.000, 0.500, 0.000], [0.500, 0.000, 0.000]]}



(5)
{"formula": "Rb2NbPdCl6", "functional": "PBE", "state": "relaxed", "m_tot_mub_per_cell": 1.00, "raw_formation_energy_ev_per_atom": -1.247, "sg": "I4/mmm", "lattice": [[-3.873, 3.873, 4.807], [3.873, -3.873, 4.807], [3.873, 3.873, -4.807]], "species": ["Rb", "Rb", "Nb", "Pd", "Cl", "Cl", "Cl", "Cl", "Cl", "Cl"], "frac_coords": [[0.250, 0.750, 0.500], [0.750, 0.250, 0.500], [0.000, 0.000, 0.000], [0.500, 0.500, 0.000], [0.227, 0.227, 0.454], [0.227, 0.773, 0.000], [0.252, 0.252, 0.000], [0.748, 0.748, 0.000], [0.773, 0.227, 0.000], [0.773, 0.773, 0.546]]}



(6)
{"formula": "Nb2RePdCl", "functional": "PBE", "state": "relaxed", "m_tot_mub_per_cell": 0.00, "raw_formation_energy_ev_per_atom": 0.928, "sg": "P4/mmm", "lattice": [[4.532, 0.000, 0.000], [0.000, 4.532, 0.000], [0.000, 0.000, 4.329]], "species": ["Nb", "Nb", "Re", "Pd", "Cl"], "frac_coords": [[0.000, 0.500, 0.000], [0.500, 0.000, 0.000], [0.000, 0.000, 0.500], [0.500, 0.500, 0.500], [0.500, 0.500, 0.000]]}



(7)
{"formula": "NbPdSCl2", "functional": "PBE", "state": "relaxed", "m_tot_mub_per_cell": 2.88, "raw_formation_energy_ev_per_atom": 0.409, "sg": "P4/mmm", "relative_energy_ev_per_fu": 2.90, "lattice": [[4.707, 0.000, 0.000], [0.000, 4.707, 0.000], [0.000, 0.000, 4.902]], "species": ["Nb", "Pd", "S", "Cl", "Cl"], "frac_coords": [[0.000, 0.000, 0.000], [0.500, 0.500, 0.500], [0.500, 0.500, 0.000], [0.000, 0.500, 0.500], [0.500, 0.000, 0.500]]}



(8)
{"formula": "NbPdSCl2", "functional": "PBE", "state": "relaxed", "m_tot_mub_per_cell": 0.11, "raw_formation_energy_ev_per_atom": -0.171, "sg": "P4/mmm", "relative_energy_ev_per_fu": 0.00, "lattice": [[4.863, 0.000, 0.000], [0.000, 4.863, 0.000], [0.000, 0.000, 4.792]], "species": ["Nb", "Pd", "S", "Cl", "Cl"], "frac_coords": [[0.000, 0.000, 0.000], [0.500, 0.500, 0.500], [0.000, 0.000, 0.500], [0.000, 0.500, 0.000], [0.500, 0.000, 0.000]]}



(9)
{"formula": "SrNbPd2Cl", "functional": "PBE", "state": "relaxed", "m_tot_mub_per_cell": 1.05, "raw_formation_energy_ev_per_atom": 0.312, "sg": "P4/mmm", "lattice": [[4.769, 0.000, 0.000], [0.000, 4.769, 0.000], [0.000, 0.000, 6.835]], "species": ["Sr", "Nb", "Pd", "Pd", "Cl"], "frac_coords": [[0.000, 0.000, 0.000], [0.000, 0.000, 0.500], [0.000, 0.500, 0.500], [0.500, 0.000, 0.500], [0.500, 0.500, 0.000]]}



(10)
{"formula": "NbVPd2Cl", "functional": "PBE", "state": "relaxed", "m_tot_mub_per_cell": 0.33, "raw_formation_energy_ev_per_atom": 0.698, "sg": "P4/mmm", "lattice": [[4.537, 0.000, 0.000], [0.000, 4.537, 0.000], [0.000, 0.000, 4.297]], "species": ["Nb", "V", "Pd", "Pd", "Cl"], "frac_coords": [[0.000, 0.000, 0.000], [0.500, 0.500, 0.000], [0.000, 0.500, 0.500], [0.500, 0.000, 0.500], [0.500, 0.500, 0.500]]}



(11)
{"formula": "Y2NbPdCl", "functional": "PBE", "state": "relaxed", "m_tot_mub_per_cell": 3.35, "raw_formation_energy_ev_per_atom": 0.501, "sg": "P4/mmm", "lattice": [[5.517, 0.000, 0.000], [0.000, 5.517, 0.000], [0.000, 0.000, 4.657]], "species": ["Y", "Y", "Nb", "Pd", "Cl"], "frac_coords": [[0.000, 0.500, 0.000], [0.500, 0.000, 0.000], [0.000, 0.000, 0.500], [0.500, 0.500, 0.000], [0.500, 0.500, 0.500]]}



(12)
{"formula": "Nb3PtCl", "functional": "PBE", "state": "relaxed", "m_tot_mub_per_cell": 0.00, "raw_formation_energy_ev_per_atom": 0.523, "sg": "Pm-3m", "relative_energy_ev_per_fu": 0.00, "lattice": [[4.512, 0.000, 0.000], [0.000, 4.512, 0.000], [0.000, 0.000, 4.512]], "species": ["Nb", "Nb", "Nb", "Pt", "Cl"], "frac_coords": [[0.000, 0.000, 0.500], [0.000, 0.500, 0.000], [0.500, 0.000, 0.000], [0.500, 0.500, 0.500], [0.000, 0.000, 0.000]]}



(13)
{"formula": "Nb3PtCl", "functional": "PBE", "state": "relaxed", "m_tot_mub_per_cell": 0.00, "raw_formation_energy_ev_per_atom": 1.144, "sg": "Pm-3m", "relative_energy_ev_per_fu": 3.11, "lattice": [[4.975, 0.000, 0.000], [0.000, 4.975, 0.000], [0.000, 0.000, 4.975]], "species": ["Nb", "Nb", "Nb", "Pt", "Cl"], "frac_coords": [[0.000, 0.000, 0.500], [0.000, 0.500, 0.000], [0.500, 0.000, 0.000], [0.000, 0.000, 0.000], [0.500, 0.500, 0.500]]}



(14)
{"formula": "Nb2PtCl", "functional": "PBE", "state": "relaxed", "m_tot_mub_per_cell": 0.00, "raw_formation_energy_ev_per_atom": 0.371, "sg": "I-42d", "relative_energy_ev_per_fu": 1.64, "lattice": [[5.729, 0.000, 0.000], [0.000, 5.729, 0.000], [0.000, 0.000, 11.304]], "species": ["Nb", "Nb", "Nb", "Nb", "Nb", "Nb", "Nb", "Nb", "Pt", "Pt", "Pt", "Pt", "Cl", "Cl", "Cl", "Cl"], "frac_coords": [[0.244, 0.250, 0.125], [0.250, 0.744, 0.375], [0.250, 0.756, 0.875], [0.256, 0.250, 0.625], [0.744, 0.750, 0.625], [0.750, 0.244, 0.875], [0.750, 0.256, 0.375], [0.756, 0.750, 0.125], [0.000, 0.000, 0.500], [0.000, 0.500, 0.750], [0.500, 0.000, 0.250], [0.500, 0.500, 0.000], [0.000, 0.000, 0.000], [0.000, 0.500, 0.250], [0.500, 0.000, 0.750], [0.500, 0.500, 0.500]]}



(15)
{"formula": "Nb2PtCl", "functional": "PBE", "state": "relaxed", "m_tot_mub_per_cell": 0.00, "raw_formation_energy_ev_per_atom": -0.040, "sg": "Fm-3m", "relative_energy_ev_per_fu": 0.00, "lattice": [[6.463, 0.000, 0.000], [0.000, 6.463, 0.000], [0.000, 0.000, 6.463]], "species": ["Nb", "Nb", "Nb", "Nb", "Nb", "Nb", "Nb", "Nb", "Pt", "Pt", "Pt", "Pt", "Cl", "Cl", "Cl", "Cl"], "frac_coords": [[0.250, 0.250, 0.250], [0.250, 0.250, 0.750], [0.250, 0.750, 0.250], [0.250, 0.750, 0.750], [0.750, 0.250, 0.250], [0.750, 0.250, 0.750], [0.750, 0.750, 0.250], [0.750, 0.750, 0.750], [0.000, 0.000, 0.000], [0.000, 0.500, 0.500], [0.500, 0.000, 0.500], [0.500, 0.500, 0.000], [0.000, 0.000, 0.500], [0.000, 0.500, 0.000], [0.500, 0.000, 0.000], [0.500, 0.500, 0.500]]}



(16)
{"formula": "NbPtSCl2", "functional": "PBE", "state": "relaxed", "m_tot_mub_per_cell": 3.01, "raw_formation_energy_ev_per_atom": 0.547, "sg": "P4/mmm", "relative_energy_ev_per_fu": 1.75, "lattice": [[4.779, 0.000, 0.000], [0.000, 4.779, 0.000], [0.000, 0.000, 4.842]], "species": ["Nb", "Pt", "S", "Cl", "Cl"], "frac_coords": [[0.000, 0.000, 0.000], [0.500, 0.500, 0.500], [0.500, 0.500, 0.000], [0.000, 0.500, 0.500], [0.500, 0.000, 0.500]]}



(17)
{"formula": "NbPtS2Cl", "functional": "PBE", "state": "relaxed", "m_tot_mub_per_cell": 0.03, "raw_formation_energy_ev_per_atom": 0.259, "sg": "P4/mmm", "relative_energy_ev_per_fu": 0.00, "lattice": [[4.809, 0.000, 0.000], [0.000, 4.809, 0.000], [0.000, 0.000, 4.735]], "species": ["Nb", "Pt", "S", "S", "Cl"], "frac_coords": [[0.000, 0.000, 0.000], [0.500, 0.500, 0.500], [0.000, 0.500, 0.000], [0.500, 0.000, 0.000], [0.000, 0.000, 0.500]]}



(18)
{"formula": "NbPtSCl2", "functional": "PBE", "state": "relaxed", "m_tot_mub_per_cell": 0.27, "raw_formation_energy_ev_per_atom": 0.197, "sg": "P4/mmm", "relative_energy_ev_per_fu": 0.00, "lattice": [[4.792, 0.000, 0.000], [0.000, 4.792, 0.000], [0.000, 0.000, 4.847]], "species": ["Nb", "Pt", "S", "Cl", "Cl"], "frac_coords": [[0.000, 0.000, 0.000], [0.500, 0.500, 0.500], [0.000, 0.000, 0.500], [0.000, 0.500, 0.000], [0.500, 0.000, 0.000]]}



(19)
{"formula": "NbPtS2Cl", "functional": "PBE", "state": "relaxed", "m_tot_mub_per_cell": 2.46, "raw_formation_energy_ev_per_atom": 0.577, "sg": "P4/mmm", "relative_energy_ev_per_fu": 1.59, "lattice": [[4.729, 0.000, 0.000], [0.000, 4.729, 0.000], [0.000, 0.000, 4.703]], "species": ["Nb", "Pt", "S", "S", "Cl"], "frac_coords": [[0.000, 0.000, 0.000], [0.500, 0.500, 0.500], [0.000, 0.500, 0.500], [0.500, 0.000, 0.500], [0.500, 0.500, 0.000]]}



(20)
{"formula": "ZrNbPt2Cl", "functional": "PBE", "state": "relaxed", "m_tot_mub_per_cell": 0.00, "raw_formation_energy_ev_per_atom": 0.272, "sg": "P4/mmm", "lattice": [[4.958, 0.000, 0.000], [0.000, 4.958, 0.000], [0.000, 0.000, 4.566]], "species": ["Zr", "Nb", "Pt", "Pt", "Cl"], "frac_coords": [[0.000, 0.000, 0.000], [0.500, 0.500, 0.500], [0.000, 0.500, 0.500], [0.500, 0.000, 0.500], [0.500, 0.500, 0.000]]}



(21)
{"formula": "PuNbCl", "functional": "PBE", "state": "relaxed", "m_tot_mub_per_cell": 11.10, "raw_formation_energy_ev_per_atom": -0.231, "sg": "P-1", "lattice": [[3.141, 0.000, 0.000], [-1.338, 5.319, 0.000], [-0.825, -2.584, 7.832]], "species": ["Pu", "Pu", "Nb", "Nb", "Cl", "Cl"], "frac_coords": [[0.066, 0.439, 0.309], [0.934, 0.561, 0.691], [0.500, 0.000, 0.000], [0.500, 0.500, 0.000], [0.319, 0.096, 0.710], [0.681, 0.904, 0.290]]}



(22)
{"formula": "Rb6NbCl12", "functional": "PBE", "state": "relaxed", "m_tot_mub_per_cell": 1.58, "raw_formation_energy_ev_per_atom": -1.544, "sg": "R-3", "lattice": [[6.419, 3.706, 5.768], [-6.419, 3.706, 5.768], [0.000, -7.412, 5.768]], "species": ["Rb", "Rb", "Rb", "Rb", "Rb", "Rb", "Nb", "Cl", "Cl", "Cl", "Cl", "Cl", "Cl", "Cl", "Cl", "Cl", "Cl", "Cl", "Cl"], "frac_coords": [[0.021, 0.492, 0.742], [0.258, 0.979, 0.508], [0.492, 0.742, 0.021], [0.508, 0.258, 0.979], [0.742, 0.021, 0.492], [0.979, 0.508, 0.258], [0.500, 0.500, 0.500], [0.001, 0.240, 0.501], [0.240, 0.501, 0.001], [0.324, 0.597, 0.343], [0.343, 0.324, 0.597], [0.403, 0.657, 0.676], [0.499, 0.999, 0.760], [0.501, 0.001, 0.240], [0.597, 0.343, 0.324], [0.657, 0.676, 0.403], [0.676, 0.403, 0.657], [0.760, 0.499, 0.999], [0.999, 0.760, 0.499]]}



(23)
{"formula": "RbNb3Cl", "functional": "PBE", "state": "relaxed", "m_tot_mub_per_cell": 1.63, "raw_formation_energy_ev_per_atom": 1.319, "sg": "Pm-3m", "relative_energy_ev_per_fu": 0.00, "lattice": [[4.813, 0.000, 0.000], [0.000, 4.813, 0.000], [0.000, 0.000, 4.813]], "species": ["Rb", "Nb", "Nb", "Nb", "Cl"], "frac_coords": [[0.000, 0.000, 0.000], [0.000, 0.500, 0.500], [0.500, 0.000, 0.500], [0.500, 0.500, 0.000], [0.500, 0.500, 0.500]]}



(24)
{"formula": "Rb3NbCl8", "functional": "PBE", "state": "relaxed", "m_tot_mub_per_cell": 0.14, "raw_formation_energy_ev_per_atom": -1.584, "sg": "P6_3mc", "lattice": [[9.894, 0.000, 0.000], [-4.947, 8.569, 0.000], [0.000, 0.000, 9.413]], "species": ["Rb", "Rb", "Rb", "Rb", "Rb", "Rb", "Nb", "Nb", "Cl", "Cl", "Cl", "Cl", "Cl", "Cl", "Cl", "Cl", "Cl", "Cl", "Cl", "Cl", "Cl", "Cl", "Cl", "Cl"], "frac_coords": [[0.153, 0.305, 0.000], [0.153, 0.847, 0.000], [0.305, 0.153, 0.500], [0.695, 0.847, 0.000], [0.847, 0.153, 0.500], [0.847, 0.695, 0.500], [0.333, 0.667, 0.463], [0.667, 0.333, 0.963], [0.000, 0.000, 0.263], [0.000, 0.000, 0.763], [0.106, 0.553, 0.320], [0.219, 0.439, 0.612], [0.219, 0.781, 0.612], [0.333, 0.667, 0.974], [0.439, 0.219, 0.112], [0.447, 0.553, 0.320], [0.447, 0.894, 0.320], [0.553, 0.106, 0.820], [0.553, 0.447, 0.820], [0.561, 0.781, 0.612], [0.667, 0.333, 0.474], [0.781, 0.219, 0.112], [0.781, 0.561, 0.112], [0.894, 0.447, 0.820]]}



(25)
{"formula": "Rb2NbCl5", "functional": "PBE", "state": "relaxed", "m_tot_mub_per_cell": 2.00, "raw_formation_energy_ev_per_atom": -1.514, "sg": "Fmm2", "lattice": [[0.000, 5.914, 4.857], [5.200, 0.000, 4.857], [5.200, 5.914, 0.000]], "species": ["Rb", "Rb", "Nb", "Cl", "Cl", "Cl", "Cl", "Cl"], "frac_coords": [[0.000, 0.000, 0.500], [0.500, 0.500, 0.000], [0.235, 0.235, 0.765], [0.022, 0.455, 0.545], [0.143, 0.552, 0.857], [0.455, 0.022, 0.978], [0.552, 0.143, 0.448], [0.992, 0.992, 0.008]]}